1.
# CeCr2SiC (GGA-PBE, optimized geometry)
# Raw formation energy: -0.3593 eV per atom
# Crystal system: orthorhombic
data_CeCr2SiC
_chemical_formula_sum 'Ce4 Cr8 Si4 C4'
_symmetry_space_group_name_H-M 'C m c m'
_symmetry_Int_Tables_number 63
_symmetry_space_group_name_Hall '-C 2c 2'
_cell_length_a 3.6680
_cell_length_b 10.7042
_cell_length_c 7.3669
_cell_angle_alpha 90.00
_cell_angle_beta 90.00
_cell_angle_gamma 90.00
loop_
_atom_site_label
_atom_site_fract_x
_atom_site_fract_y
_atom_site_fract_z
Ce1 0.0000 0.0385 0.2500
Cr1 0.0000 0.3261 0.0566
Si1 0.0000 0.2399 0.7500
C1 0.0000 0.5000 0.0000

=====

2.
# YMg2Br (GGA-PBE, optimized geometry)
# Raw formation energy: -0.3585 eV per atom
# Crystal system: orthorhombic
# ΔE to the lowest computed polymorph: 71.8 meV per atom
data_YMg2Br
_chemical_formula_sum 'Y2 Mg4 Br2'
_symmetry_space_group_name_H-M 'C m m m'
_symmetry_Int_Tables_number 65
_symmetry_space_group_name_Hall '-C 2 2'
_cell_length_a 3.8042
_cell_length_b 5.8006
_cell_length_c 9.6679
_cell_angle_alpha 90.00
_cell_angle_beta 90.00
_cell_angle_gamma 90.00
loop_
_atom_site_label
_atom_site_fract_x
_atom_site_fract_y
_atom_site_fract_z
Y1 0.0000 0.0000 0.0000
Mg1 0.0000 0.5000 0.2733
Br1 0.0000 0.0000 0.5000

=====

3.
# LiBe2Pd2 (GGA-PBE, optimized geometry)
# Crystal system: tetragonal
# ΔE to the lowest computed polymorph: 228.8 meV per atom
# DFT formation energy: -288 meV per atom
data_LiBe2Pd2
_chemical_formula_sum 'Li2 Be4 Pd4'
_symmetry_space_group_name_H-M 'I 4/m m m'
_symmetry_Int_Tables_number 139
_symmetry_space_group_name_Hall '-I 4 2'
_cell_length_a 3.3147
_cell_length_b 3.3147
_cell_length_c 11.8706
_cell_angle_alpha 90.00
_cell_angle_beta 90.00
_cell_angle_gamma 90.00
loop_
_atom_site_label
_atom_site_fract_x
_atom_site_fract_y
_atom_site_fract_z
Li1 0.0000 0.0000 0.0000
Be1 0.0000 0.5000 0.2500
Pd1 0.0000 0.0000 0.3831

=====

4.
# HoEr2P3 (GGA-PBE, optimized geometry)
# Crystal system: orthorhombic
# DFT formation energy: -1614 meV per atom
data_HoEr2P3
_chemical_formula_sum 'Ho4 Er8 P12'
_symmetry_space_group_name_H-M 'P n m a'
_symmetry_Int_Tables_number 62
_cell_length_a 7.9382
_cell_length_b 5.6185
_cell_length_c 11.9389
_cell_angle_alpha 90.00
_cell_angle_beta 90.00
_cell_angle_gamma 90.00
loop_
_symmetry_equiv_pos_as_xyz
'x,y,z'
'-x,-y,-z'
'-x+1/2,-y,z+1/2'
'x+1/2,y,-z+1/2'
'x+1/2,-y+1/2,-z+1/2'
'-x+1/2,y+1/2,z+1/2'
'-x,y+1/2,-z'
'x,-y+1/2,z'
loop_
_atom_site_label
_atom_site_fract_x
_atom_site_fract_y
_atom_site_fract_z
Ho1 0.1252 0.2500 0.0832
Er1 0.1248 0.2500 0.4166
Er2 0.1250 0.2500 0.7502
P1 0.1243 0.7500 0.4163
P2 0.1250 0.7500 0.7501
P3 0.1256 0.7500 0.0836

=====

5.
# NaBiAsAu (GGA-PBE, optimized geometry)
# Crystal system: cubic
# DFT formation energy: -84 meV per atom
data_NaBiAsAu
_chemical_formula_sum 'Na4 Bi4 As4 Au4'
_symmetry_space_group_name_H-M 'F -4 3 m'
_symmetry_Int_Tables_number 216
_symmetry_space_group_name_Hall 'F -4 2 3'
_cell_length_a 7.2345
_cell_length_b 7.2345
_cell_length_c 7.2345
_cell_angle_alpha 90.00
_cell_angle_beta 90.00
_cell_angle_gamma 90.00
loop_
_atom_site_label
_atom_site_fract_x
_atom_site_fract_y
_atom_site_fract_z
Na1 0.0000 0.0000 0.0000
Bi1 0.0000 0.0000 0.5000
As1 0.2500 0.2500 0.7500
Au1 0.2500 0.2500 0.2500

=====

6.
# CsSrPt2I (GGA-PBE, optimized geometry)
# Raw formation energy: 0.4233 eV per atom
# Crystal system: tetragonal
data_CsSrPt2I
_chemical_formula_sum 'Cs1 Sr1 Pt2 I1'
_symmetry_space_group_name_H-M 'P 4/m m m'
_symmetry_Int_Tables_number 123
_symmetry_space_group_name_Hall '-P 4 2'
_cell_length_a 5.3291
_cell_length_b 5.3291
_cell_length_c 6.2823
_cell_angle_alpha 90.00
_cell_angle_beta 90.00
_cell_angle_gamma 90.00
loop_
_atom_site_label
_atom_site_fract_x
_atom_site_fract_y
_atom_site_fract_z
Cs1 0.0000 0.0000 0.0000
Sr1 0.5000 0.5000 0.0000
Pt1 0.0000 0.5000 0.5000
I1 0.0000 0.0000 0.5000

=====

7.
# TcAg2As (GGA-PBE, optimized geometry)
# Crystal system: monoclinic
# DFT formation energy: 417 meV per atom
data_TcAg2As
_chemical_formula_sum 'Tc1 Ag2 As1'
_symmetry_space_group_name_H-M 'P 1 2/m 1'
_symmetry_Int_Tables_number 10
_cell_length_a 2.8061
_cell_length_b 4.8727
_cell_length_c 5.0901
_cell_angle_alpha 90.00
_cell_angle_beta 101.26
_cell_angle_gamma 90.00
loop_
_symmetry_equiv_pos_as_xyz
'x,y,z'
'-x,-y,-z'
'-x,y,-z'
'x,-y,z'
loop_
_atom_site_label
_atom_site_fract_x
_atom_site_fract_y
_atom_site_fract_z
Tc1 0.0000 0.0000 0.0000
Ag1 0.3312 0.5000 0.7443
As1 0.0000 0.0000 0.5000

=====

8.
# K2Sr2Pd (GGA-PBE, optimized geometry)
# Crystal system: tetragonal
# DFT formation energy: -31 meV per atom
data_K2Sr2Pd
_chemical_formula_sum 'K4 Sr4 Pd2'
_symmetry_space_group_name_H-M 'P 4/m b m'
_symmetry_Int_Tables_number 127
_symmetry_space_group_name_Hall '-P 4 2ab'
_cell_length_a 8.1802
_cell_length_b 8.1802
_cell_length_c 7.4337
_cell_angle_alpha 90.00
_cell_angle_beta 90.00
_cell_angle_gamma 90.00
loop_
_atom_site_label
_atom_site_fract_x
_atom_site_fract_y
_atom_site_fract_z
K1 0.1791 0.3209 0.0000
Sr1 0.1803 0.6803 0.5000
Pd1 0.0000 0.0000 0.5000

=====

9.
# AlPtBr2 (GGA-PBE, optimized geometry)
# Raw formation energy: -0.4111 eV per atom
# Crystal system: triclinic
# ΔE to the lowest computed polymorph: 73.2 meV per atom
data_AlPtBr2
_chemical_formula_sum 'Al1 Pt1 Br2'
_symmetry_space_group_name_H-M 'P 1'
_symmetry_Int_Tables_number 1
_cell_length_a 3.6968
_cell_length_b 5.2495
_cell_length_c 5.4385
_cell_angle_alpha 117.83
_cell_angle_beta 93.72
_cell_angle_gamma 97.21
loop_
_symmetry_equiv_pos_as_xyz
'x,y,z'
loop_
_atom_site_label
_atom_site_fract_x
_atom_site_fract_y
_atom_site_fract_z
Al1 0.0000 0.0000 0.0000
Pt1 0.4227 0.6573 0.8792
Br1 0.3453 0.5411 0.3256
Br2 0.8909 0.1856 0.6561

=====

10.
# Ac2Cu3Sn4Rh (GGA-PBE, optimized geometry)
# Crystal system: tetragonal
# DFT formation energy: -501 meV per atom
data_Ac2Cu3Sn4Rh
_chemical_formula_sum 'Ac2 Cu3 Sn4 Rh1'
_symmetry_space_group_name_H-M 'P -4 m 2'
_symmetry_Int_Tables_number 115
_cell_length_a 4.6437
_cell_length_b 4.6437
_cell_length_c 10.7095
_cell_angle_alpha 90.00
_cell_angle_beta 90.00
_cell_angle_gamma 90.00
loop_
_symmetry_equiv_pos_as_xyz
'x,y,z'
'y,-x,-z'
'-x,-y,z'
'-y,x,-z'
'-x,y,z'
'-y,-x,-z'
'x,-y,z'
'y,x,-z'
loop_
_atom_site_label
_atom_site_fract_x
_atom_site_fract_y
_atom_site_fract_z
Ac1 0.0000 0.5000 0.2380
Cu1 0.0000 0.0000 0.0000
Cu2 0.0000 0.5000 0.6318
Sn1 0.0000 0.0000 0.5000
Sn2 0.0000 0.5000 0.8771
Sn3 0.5000 0.5000 0.5000
Rh1 0.5000 0.5000 0.0000

=====

11.
# Pm4Er3Sc2 (GGA-PBE, optimized geometry)
# Crystal system: orthorhombic
# ΔE to the lowest computed polymorph: 0.0 meV per atom
# DFT formation energy: 59 meV per atom
data_Pm4Er3Sc2
_chemical_formula_sum 'Pm16 Er12 Sc8'
_symmetry_space_group_name_H-M 'C c c m'
_symmetry_Int_Tables_number 66
_symmetry_space_group_name_Hall '-C 2 2c'
_cell_length_a 9.5176
_cell_length_b 16.7378
_cell_length_c 6.9487
_cell_angle_alpha 90.00
_cell_angle_beta 90.00
_cell_angle_gamma 90.00
loop_
_atom_site_label
_atom_site_fract_x
_atom_site_fract_y
_atom_site_fract_z
Pm1 0.1665 0.0152 0.0000
Pm2 0.1760 0.3395 0.5000
Er1 0.0000 0.1751 0.2500
Er2 0.0000 0.5000 0.2500
Sc1 0.1577 0.3258 0.0000

=====

12.
# LiPtCl (GGA-PBE, optimized geometry)
# Raw formation energy: -0.8265 eV per atom
# Crystal system: triclinic
# ΔE to the lowest computed polymorph: 0.1 meV per atom
data_LiPtCl
_chemical_formula_sum 'Li2 Pt2 Cl2'
_symmetry_space_group_name_H-M 'P 1'
_symmetry_Int_Tables_number 1
_cell_length_a 3.4623
_cell_length_b 3.4643
_cell_length_c 10.5303
_cell_angle_alpha 87.67
_cell_angle_beta 81.76
_cell_angle_gamma 90.00
loop_
_symmetry_equiv_pos_as_xyz
'x,y,z'
loop_
_atom_site_label
_atom_site_fract_x
_atom_site_fract_y
_atom_site_fract_z
Li1 0.0000 0.0000 0.0000
Li2 0.4042 0.4719 0.2211
Pt1 0.3473 0.4724 0.6467
Pt2 0.8777 0.9811 0.5790
Cl1 0.5094 0.5023 0.9785
Cl2 0.8941 0.9691 0.2436

=====

13.
# LaErTm2 (GGA-PBE, optimized geometry)
# Crystal system: orthorhombic
# ΔE to the lowest computed polymorph: 17.3 meV per atom
# DFT formation energy: 29 meV per atom
data_LaErTm2
_chemical_formula_sum 'La2 Er2 Tm4'
_symmetry_space_group_name_H-M 'I m m 2'
_symmetry_Int_Tables_number 44
_cell_length_a 3.6518
_cell_length_b 11.3624
_cell_length_c 6.2180
_cell_angle_alpha 90.00
_cell_angle_beta 90.00
_cell_angle_gamma 90.00
loop_
_symmetry_equiv_pos_as_xyz
'x,y,z'
'-x,-y,z'
'-x,y,z'
'x,-y,z'
'x+1/2,y+1/2,z+1/2'
'-x+1/2,-y+1/2,z+1/2'
'-x+1/2,y+1/2,z+1/2'
'x+1/2,-y+1/2,z+1/2'
loop_
_atom_site_label
_atom_site_fract_x
_atom_site_fract_y
_atom_site_fract_z
La1 0.0000 0.0000 0.0000
Er1 0.0000 0.5000 0.9927
Tm1 0.0000 0.2461 0.6553

=====

| no. | calculated volume (Å³/atom) |
| --- | --- |
| 1 | 14.46 |
| 2 | 26.67 |
| 3 | 13.04 |
| 4 | 22.19 |
| 5 | 23.67 |
| 6 | 35.68 |
| 7 | 17.06 |
| 8 | 49.74 |
| 9 | 22.92 |
| 10 | 23.09 |
| 11 | 30.75 |
| 12 | 20.82 |
| 13 | 32.25 |